1.
Crystalline Y7Tl4H at its relaxed geometry. Source: the Alexandria database, functional GGA-PBE.

The structure belongs to space group C2/m (No. 12); the cell edges are 16.042, 5.133 and 10.999 Å and the angles 90.00°, 129.20° and 90.00°. The asymmetric unit holds Y at (0.000, 0.000, 0.000), Y at (0.067, 0.500, 0.263), Y at (0.138, 0.000, 0.563), Y at (0.213, 0.500, 0.856), Tl at (0.078, 0.000, 0.791), Tl at (0.220, 0.000, 0.352) and H at (0.000, 0.500, 0.000).

The calculation puts the final energy at -5.027 eV/atom. Its density is 6.8 g/cm3. The total magnetic moment is 0.01 μB/cell.

***

2.
Crystalline Sc2Co2Sn at its relaxed geometry. Source: the Alexandria database, functional GGA-PBE.

The structure belongs to space group I4/mmm (No. 139); the cell edges are 3.318, 3.318 and 16.914 Å and the angles 90.00°, 90.00° and 90.00°. The asymmetric unit holds Sc at (0.000, 0.000, 0.125), Co at (0.000, 0.500, 0.250) and Sn at (0.000, 0.000, 0.500).

The value obtained for the energy of formation is -191 meV/atom. Its density is 5.8 g/cm3. The total magnetic moment is 4.20 μB/cell.

***

3.
Crystalline CsTb2Te3 at its relaxed geometry. Source: the Alexandria database, functional GGA-PBE.

The structure belongs to space group P2_1/m (No. 11); the cell edges are 8.227, 4.447 and 12.102 Å and the angles 90.00°, 103.71° and 90.00°. The asymmetric unit holds Cs at (0.030, 0.250, 0.344), Tb at (0.259, 0.250, 0.992), Tb at (0.498, 0.750, 0.311), Te at (0.144, 0.750, 0.136), Te at (0.329, 0.750, 0.525) and Te at (0.388, 0.750, 0.847).

The offset from the most stable computed form comes out at 0.00 eV/f.u. Its raw formation energy is -1.250 eV per atom. Its density is 6.4 g/cm3. The total magnetic moment is 0.00 μB/cell.

***

4.
Crystalline Er4HPb at its relaxed geometry. Source: the Alexandria database, functional GGA-PBE.

The structure belongs to space group C2/c (No. 15); the cell edges are 7.738, 15.889 and 5.726 Å and the angles 90.00°, 121.12° and 90.00°. The asymmetric unit holds Er at (0.148, 0.220, 0.144), Er at (0.210, 0.068, 0.612), H at (0.000, 0.011, 0.750) and Pb at (0.000, 0.402, 0.750).

The calculation puts the final energy at -4.441 eV/atom. Its density is 9.7 g/cm3. The total magnetic moment is 0.00 μB/cell.

***

5.
Crystalline BaCaTl2Ni at its relaxed geometry. Source: the Alexandria database, functional GGA-PBE.

The structure belongs to space group P4/mmm (No. 123); the cell edges are 5.280, 5.280 and 5.313 Å and the angles 90.00°, 90.00° and 90.00°. The asymmetric unit holds Ba at (0.000, 0.000, 0.000), Ca at (0.500, 0.500, 0.000), Tl at (0.000, 0.500, 0.500) and Ni at (0.500, 0.500, 0.500).

The value obtained for the energy of formation is -163 meV/atom. Its density is 7.2 g/cm3. The total magnetic moment is 0.00 μB/cell.

***

6.
Crystalline La3In2Ag7 at its relaxed geometry. Source: the Alexandria database, functional GGA-PBE.

The structure belongs to space group I4/mmm (No. 139); the cell edges are 4.354, 4.354 and 31.401 Å and the angles 90.00°, 90.00° and 90.00°. The asymmetric unit holds La at (0.000, 0.000, 0.000), La at (0.000, 0.000, 0.175), In at (0.000, 0.000, 0.366), Ag at (0.000, 0.000, 0.274), Ag at (0.000, 0.000, 0.500) and Ag at (0.000, 0.500, 0.076).

The value obtained for the energy of formation is -129 meV/atom. Its density is 7.8 g/cm3. The total magnetic moment is 0.00 μB/cell.